TbTh12Sc6 | PBE | relaxed

a = 9.048 Å, b = 9.048 Å, c = 9.048 Å
α = 109.47°, β = 109.47°, γ = 109.47°
Positions (direct):
Tb  0.000  0.000  0.000
Th  0.084  0.816  0.268
Th  0.184  0.268  0.453
Th  0.184  0.732  0.916
Th  0.268  0.084  0.816
Th  0.268  0.453  0.184
Th  0.453  0.184  0.268
Th  0.547  0.816  0.732
Th  0.732  0.547  0.816
Th  0.732  0.916  0.184
Th  0.816  0.268  0.084
Th  0.816  0.732  0.547
Th  0.916  0.184  0.732
Sc  0.146  0.646  0.500
Sc  0.354  0.500  0.854
Sc  0.500  0.146  0.646
Sc  0.500  0.854  0.354
Sc  0.646  0.500  0.146
Sc  0.854  0.354  0.500

Output
DFT total energy	-126.8	eV per cell
calculated formation energy	257	meV per atom
N(E_F)	30.0	states/eV/f.u.
total moment	0.00	Bohr magnetons per cell
SG	Im-3 (204)